Record 1
The following is a DFT calculation (PBE) of a relaxed structure of IrPt2W.

a b c (Å): 9.291 2.797 4.805
angles (deg): 90.00 100.26 90.00
Positions (direct):
1 Ir 0.000 0.000 0.000
2 Ir 0.500 0.500 0.000
3 Pt 0.249 0.000 0.747
4 Pt 0.251 0.500 0.253
5 Pt 0.749 0.500 0.747
6 Pt 0.751 0.000 0.253
7 W 0.000 0.500 0.500
8 W 0.500 0.000 0.500

Values from the calculation:
Its space-group type is C2/m. The energy above the most stable polymorph in this dataset is 113 meV/atom. For the formation energy, the calculation gives -0.13 eV/atom.

***

Record 2
The following is a DFT calculation (PBE) of a relaxed structure of IrPt3W.

a b c (Å): 4.758 4.758 4.758
angles (deg): 90.00 90.00 90.00
Positions (direct):
1 Ir 0.000 0.000 0.000
2 Pt 0.000 0.500 0.500
3 Pt 0.500 0.000 0.500
4 Pt 0.500 0.500 0.000
5 W 0.500 0.500 0.500

Values from the calculation:
Its space-group type is Pm-3m. The energy above the most stable polymorph in this dataset is 0 meV/atom. For the formation energy, the calculation gives 1.71 eV/atom.

***

Record 3
The following is a DFT calculation (PBE) of a relaxed structure of Ir2PtW.

a b c (Å): 9.255 2.761 4.801
angles (deg): 90.00 99.76 90.00
Positions (direct):
1 Ir 0.244 0.000 0.244
2 Ir 0.256 0.500 0.756
3 Ir 0.744 0.500 0.244
4 Ir 0.756 0.000 0.756
5 Pt 0.000 0.000 0.500
6 Pt 0.500 0.500 0.500
7 W 0.000 0.500 0.000
8 W 0.500 0.000 0.000

Values from the calculation:
Its space-group type is C2/m. The energy above the most stable polymorph in this dataset is 81 meV/atom. For the formation energy, the calculation gives -0.16 eV/atom.

***

Record 4
The following is a DFT calculation (PBE) of a relaxed structure of Ir2Pt2W3.

a b c (Å): 4.132 18.995 2.764
angles (deg): 90.00 90.00 90.00
Positions (direct):
1 Ir 0.000 0.209 0.000
2 Ir 0.000 0.791 0.000
3 Ir 0.500 0.291 0.000
4 Ir 0.500 0.709 0.000
5 Pt 0.000 0.070 0.000
6 Pt 0.000 0.930 0.000
7 Pt 0.500 0.430 0.000
8 Pt 0.500 0.570 0.000
9 W 0.000 0.347 0.500
10 W 0.000 0.500 0.500
11 W 0.000 0.653 0.500
12 W 0.500 0.000 0.500
13 W 0.500 0.153 0.500
14 W 0.500 0.847 0.500

Values from the calculation:
Its space-group type is Cmmm. For the formation energy, the calculation gives -0.19 eV/atom.

***

Record 5
The following is a DFT calculation (PBE) of a relaxed structure of IrPt2W.

a b c (Å): 3.368 3.368 5.552
angles (deg): 90.00 90.00 90.00
Positions (direct):
1 Ir 0.000 0.000 0.000
2 Pt 0.000 0.000 0.511
3 Pt 0.500 0.500 0.256
4 W 0.500 0.500 0.776

Values from the calculation:
Its space-group type is P4mm. The energy above the most stable polymorph in this dataset is 191 meV/atom. For the formation energy, the calculation gives -0.05 eV/atom.

***

Record 6
The following is a DFT calculation (PBE) of a relaxed structure of Ir4PtW.

a b c (Å): 5.118 5.118 5.118
angles (deg): 60.00 60.00 60.00
Positions (direct):
1 Ir 0.125 0.125 0.125
2 Ir 0.125 0.125 0.625
3 Ir 0.125 0.625 0.125
4 Ir 0.625 0.125 0.125
5 Pt 0.750 0.750 0.750
6 W 0.500 0.500 0.500

Values from the calculation:
Its space-group type is F-43m. For the formation energy, the calculation gives 0.35 eV/atom.

***

Record 7
The following is a DFT calculation (PBE) of a relaxed structure of Ir2PtW.

a b c (Å): 2.771 3.899 5.596
angles (deg): 90.00 90.00 90.00
Positions (direct):
1 Ir 0.000 0.000 0.244
2 Ir 0.000 0.000 0.756
3 Pt 0.500 0.500 0.500
4 W 0.500 0.500 0.000

Values from the calculation:
Its space-group type is Pmmm. The energy above the most stable polymorph in this dataset is 35 meV/atom. For the formation energy, the calculation gives -0.20 eV/atom.

***

Record 8
The following is a DFT calculation (PBE) of a relaxed structure of IrPtW2.

a b c (Å): 2.794 2.794 27.881
angles (deg): 90.00 90.00 120.00
Positions (direct):
1 Ir 0.000 0.000 0.000
2 Ir 0.333 0.667 0.667
3 Ir 0.667 0.333 0.333
4 Pt 0.000 0.000 0.753
5 Pt 0.333 0.667 0.420
6 Pt 0.667 0.333 0.086
7 W 0.000 0.000 0.257
8 W 0.000 0.000 0.501
9 W 0.333 0.667 0.167
10 W 0.333 0.667 0.923
11 W 0.667 0.333 0.590
12 W 0.667 0.333 0.834

Values from the calculation:
Its space-group type is R3m. The energy above the most stable polymorph in this dataset is 265 meV/atom. For the formation energy, the calculation gives -0.02 eV/atom.

***

Record 9
The following is a DFT calculation (PBE) of a relaxed structure of IrPtW2.

a b c (Å): 9.338 2.817 4.798
angles (deg): 90.00 100.39 90.00
Positions (direct):
1 Ir 0.000 0.000 0.000
2 Ir 0.500 0.500 0.000
3 Pt 0.000 0.500 0.500
4 Pt 0.500 0.000 0.500
5 W 0.247 0.500 0.245
6 W 0.253 0.000 0.755
7 W 0.747 0.000 0.245
8 W 0.753 0.500 0.755

Values from the calculation:
Its space-group type is C2/m. The energy above the most stable polymorph in this dataset is 232 meV/atom. For the formation energy, the calculation gives -0.06 eV/atom.

***

Record 10
The following is a DFT calculation (PBE) of a relaxed structure of Ir2PtW.

a b c (Å): 6.279 6.279 6.279
angles (deg): 90.00 90.00 90.00
Positions (direct):
1 Ir 0.000 0.000 0.000
2 Ir 0.000 0.500 0.500
3 Ir 0.250 0.250 0.250
4 Ir 0.250 0.750 0.750
5 Ir 0.500 0.000 0.500
6 Ir 0.500 0.500 0.000
7 Ir 0.750 0.250 0.750
8 Ir 0.750 0.750 0.250
9 Pt 0.250 0.250 0.750
10 Pt 0.250 0.750 0.250
11 Pt 0.750 0.250 0.250
12 Pt 0.750 0.750 0.750
13 W 0.000 0.000 0.500
14 W 0.000 0.500 0.000
15 W 0.500 0.000 0.000
16 W 0.500 0.500 0.500

Values from the calculation:
Its space-group type is F-43m. The energy above the most stable polymorph in this dataset is 481 meV/atom. For the formation energy, the calculation gives 0.25 eV/atom.

***

Record 11
The following is a DFT calculation (PBE) of a relaxed structure of Ir2PtW.

a b c (Å): 2.754 2.754 7.980
angles (deg): 90.00 90.00 90.00
Positions (direct):
1 Ir 0.000 0.000 0.000
2 Ir 0.500 0.500 0.244
3 Pt 0.000 0.000 0.505
4 W 0.500 0.500 0.755

Values from the calculation:
Its space-group type is P4mm. The energy above the most stable polymorph in this dataset is 140 meV/atom. For the formation energy, the calculation gives -0.10 eV/atom.

***

Record 12
The following is a DFT calculation (PBE) of a relaxed structure of Ir2PtW.

a b c (Å): 7.119 7.119 5.402
angles (deg): 90.00 90.00 90.00
Positions (direct):
1 Ir 0.217 0.250 0.125
2 Ir 0.250 0.717 0.375
3 Ir 0.250 0.783 0.875
4 Ir 0.283 0.250 0.625
5 Ir 0.717 0.750 0.625
6 Ir 0.750 0.217 0.875
7 Ir 0.750 0.283 0.375
8 Ir 0.783 0.750 0.125
9 Pt 0.000 0.000 0.500
10 Pt 0.000 0.500 0.750
11 Pt 0.500 0.000 0.250
12 Pt 0.500 0.500 0.000
13 W 0.000 0.000 0.000
14 W 0.000 0.500 0.250
15 W 0.500 0.000 0.750
16 W 0.500 0.500 0.500

Values from the calculation:
Its space-group type is I-42d. The energy above the most stable polymorph in this dataset is 577 meV/atom. For the formation energy, the calculation gives 0.34 eV/atom.

***

Record 13
The following is a DFT calculation (PBE) of a relaxed structure of IrPtW.

a b c (Å): 2.788 2.788 11.864
angles (deg): 90.00 90.00 90.00
Positions (direct):
1 Ir 0.000 0.000 0.000
2 Ir 0.500 0.500 0.500
3 Pt 0.000 0.000 0.680
4 Pt 0.500 0.500 0.180
5 W 0.000 0.000 0.346
6 W 0.500 0.500 0.846

Values from the calculation:
Its space-group type is I4mm. The energy above the most stable polymorph in this dataset is 42 meV/atom. For the formation energy, the calculation gives -0.26 eV/atom.

***

Record 14
The following is a DFT calculation (PBE) of a relaxed structure of Ir2Pt2W.

a b c (Å): 7.251 4.731 4.801
angles (deg): 90.00 109.44 90.00
Positions (direct):
1 Ir 0.099 0.000 0.307
2 Ir 0.401 0.500 0.693
3 Ir 0.599 0.500 0.307
4 Ir 0.901 0.000 0.693
5 Pt 0.196 0.500 0.096
6 Pt 0.304 0.000 0.904
7 Pt 0.696 0.000 0.096
8 Pt 0.804 0.500 0.904
9 W 0.000 0.500 0.500
10 W 0.500 0.000 0.500

Values from the calculation:
Its space-group type is C2/m. For the formation energy, the calculation gives 0.05 eV/atom.

***

Record 15
The following is a DFT calculation (PBE) of a relaxed structure of Ir2PtW.

a b c (Å): 6.275 6.275 6.275
angles (deg): 90.00 90.00 90.00
Positions (direct):
1 Ir 0.250 0.250 0.250
2 Ir 0.250 0.250 0.750
3 Ir 0.250 0.750 0.250
4 Ir 0.250 0.750 0.750
5 Ir 0.750 0.250 0.250
6 Ir 0.750 0.250 0.750
7 Ir 0.750 0.750 0.250
8 Ir 0.750 0.750 0.750
9 Pt 0.000 0.000 0.000
10 Pt 0.000 0.500 0.500
11 Pt 0.500 0.000 0.500
12 Pt 0.500 0.500 0.000
13 W 0.000 0.000 0.500
14 W 0.000 0.500 0.000
15 W 0.500 0.000 0.000
16 W 0.500 0.500 0.500

Values from the calculation:
Its space-group type is Fm-3m. The energy above the most stable polymorph in this dataset is 370 meV/atom. For the formation energy, the calculation gives 0.13 eV/atom.

***

Record 16
The following is a DFT calculation (PBE) of a relaxed structure of IrPtW2.

a b c (Å): 2.763 2.763 8.066
angles (deg): 90.00 90.00 90.00
Positions (direct):
1 Ir 0.000 0.000 0.000
2 Pt 0.000 0.000 0.500
3 W 0.500 0.500 0.243
4 W 0.500 0.500 0.757

Values from the calculation:
Its space-group type is P4/mmm. The energy above the most stable polymorph in this dataset is 44 meV/atom. For the formation energy, the calculation gives -0.24 eV/atom.

***

Record 17
The following is a DFT calculation (PBE) of a relaxed structure of IrPtW.

a b c (Å): 4.838 8.353 4.883
angles (deg): 90.00 111.43 90.00
Positions (direct):
1 Ir 0.000 0.072 0.250
2 Ir 0.000 0.928 0.750
3 Ir 0.500 0.428 0.750
4 Ir 0.500 0.572 0.250
5 Pt 0.000 0.260 0.750
6 Pt 0.000 0.740 0.250
7 Pt 0.500 0.240 0.250
8 Pt 0.500 0.760 0.750
9 W 0.000 0.404 0.250
10 W 0.000 0.596 0.750
11 W 0.500 0.096 0.750
12 W 0.500 0.904 0.250

Values from the calculation:
Its space-group type is C2/c. The energy above the most stable polymorph in this dataset is 66 meV/atom. For the formation energy, the calculation gives -0.23 eV/atom.

***

Record 18
The following is a DFT calculation (PBE) of a relaxed structure of IrPt2W.

a b c (Å): 4.820 2.799 4.832
angles (deg): 90.00 109.53 90.00
Positions (direct):
1 Ir 0.000 0.000 0.000
2 Pt 0.000 0.500 0.500
3 Pt 0.500 0.000 0.500
4 W 0.500 0.500 0.000

Values from the calculation:
Its space-group type is P2/m. The energy above the most stable polymorph in this dataset is 145 meV/atom. For the formation energy, the calculation gives -0.10 eV/atom.

***

Record 19
The following is a DFT calculation (PBE) of a relaxed structure of IrPt2W.

a b c (Å): 2.788 2.788 7.967
angles (deg): 90.00 90.00 90.00
Positions (direct):
1 Ir 0.000 0.000 0.000
2 Pt 0.000 0.000 0.526
3 Pt 0.500 0.500 0.260
4 W 0.500 0.500 0.772

Values from the calculation:
Its space-group type is P4mm. The energy above the most stable polymorph in this dataset is 27 meV/atom. For the formation energy, the calculation gives -0.22 eV/atom.

***

Record 20
The following is a DFT calculation (PBE) of a relaxed structure of IrPt2W.

a b c (Å): 3.409 3.409 5.413
angles (deg): 90.00 90.00 90.00
Positions (direct):
1 Ir 0.000 0.000 0.000
2 Pt 0.500 0.500 0.250
3 Pt 0.500 0.500 0.750
4 W 0.000 0.000 0.500

Values from the calculation:
Its space-group type is P4/mmm. The energy above the most stable polymorph in this dataset is 318 meV/atom. For the formation energy, the calculation gives 0.07 eV/atom.